Record 1
{
  "formula": "BaZnAg4O8",
  "functional": "PBE",
  "state": "relaxed",
  "raw_formation_energy_ev_per_fu": -4.11,
  "cell": [[5.7729, 0.0000, 0.0000], [-2.8864, 4.9994, 0.0000], [0.0000, 0.0000, 7.1589]],
  "species": ["Ba", "Zn", "Ag", "Ag", "Ag", "Ag", "O", "O", "O", "O", "O", "O", "O", "O"],
  "fractional_positions": [[0.0000, 0.0000, 0.0000], [0.0000, 0.0000, 0.5000], [0.3333, 0.6667, 0.2908], [0.3333, 0.6667, 0.7092], [0.6667, 0.3333, 0.2908], [0.6667, 0.3333, 0.7092], [0.0000, 0.2793, 0.3211], [0.0000, 0.7207, 0.6789], [0.2793, 0.0000, 0.3211], [0.2793, 0.2793, 0.6789], [0.3333, 0.6667, 0.0000], [0.6667, 0.3333, 0.0000], [0.7207, 0.0000, 0.6789], [0.7207, 0.7207, 0.3211]]
}



Record 2
{
  "formula": "Ba3ZrAg2O6",
  "functional": "PBE",
  "state": "relaxed",
  "raw_formation_energy_ev_per_fu": -24.05,
  "cell": [[6.2175, 0.0000, 0.0000], [-3.1087, 5.3845, 0.0000], [0.0000, 0.0000, 6.8339]],
  "species": ["Ba", "Ba", "Ba", "Zr", "Ag", "Ag", "O", "O", "O", "O", "O", "O"],
  "fractional_positions": [[0.0000, 0.0000, 0.0000], [0.3333, 0.6667, 0.6182], [0.6667, 0.3333, 0.3818], [0.0000, 0.0000, 0.5000], [0.3333, 0.6667, 0.1359], [0.6667, 0.3333, 0.8641], [0.1586, 0.3173, 0.3169], [0.1586, 0.8414, 0.3169], [0.3173, 0.1586, 0.6831], [0.6827, 0.8414, 0.3169], [0.8414, 0.1586, 0.6831], [0.8414, 0.6827, 0.6831]]
}



Record 3
{
  "formula": "Ba4Zr3AgO12",
  "functional": "PBE",
  "state": "relaxed",
  "raw_formation_energy_ev_per_fu": -52.99,
  "cell": [[-4.2359, 4.2359, 4.2359], [4.2359, -4.2359, 4.2359], [4.2359, 4.2359, -4.2359]],
  "species": ["Ba", "Ba", "Ba", "Ba", "Zr", "Zr", "Zr", "Ag", "O", "O", "O", "O", "O", "O", "O", "O", "O", "O", "O", "O"],
  "fractional_positions": [[0.0000, 0.0000, 0.5000], [0.0000, 0.5000, 0.0000], [0.5000, 0.0000, 0.0000], [0.5000, 0.5000, 0.5000], [0.0000, 0.5000, 0.5000], [0.5000, 0.0000, 0.5000], [0.5000, 0.5000, 0.0000], [0.0000, 0.0000, 0.0000], [0.0000, 0.2521, 0.2521], [0.0000, 0.7479, 0.7479], [0.2500, 0.5000, 0.7500], [0.2500, 0.7500, 0.5000], [0.2521, 0.0000, 0.2521], [0.2521, 0.2521, 0.0000], [0.5000, 0.2500, 0.7500], [0.5000, 0.7500, 0.2500], [0.7479, 0.0000, 0.7479], [0.7479, 0.7479, 0.0000], [0.7500, 0.2500, 0.5000], [0.7500, 0.5000, 0.2500]]
}



Record 4
{
  "formula": "Ba2ZrAg2O6",
  "functional": "PBE",
  "state": "relaxed",
  "raw_formation_energy_ev_per_fu": -19.24,
  "cell": [[3.1858, 1.8393, 5.6286], [-3.1858, 1.8393, 5.6286], [0.0000, -3.6786, 5.6286]],
  "species": ["Ba", "Ba", "Zr", "Ag", "Ag", "O", "O", "O", "O", "O", "O"],
  "fractional_positions": [[0.2136, 0.2136, 0.2136], [0.7864, 0.7864, 0.7864], [0.0000, 0.0000, 0.0000], [0.4150, 0.4150, 0.4150], [0.5850, 0.5850, 0.5850], [0.2044, 0.7729, 0.7729], [0.2271, 0.2271, 0.7956], [0.2271, 0.7956, 0.2271], [0.7729, 0.2044, 0.7729], [0.7729, 0.7729, 0.2044], [0.7956, 0.2271, 0.2271]]
}



Record 5
{
  "formula": "BaAg2Os",
  "functional": "PBE",
  "state": "relaxed",
  "ef_ev_per_atom": 0.840,
  "e_above_lowest_polymorph_ev_per_atom": 0.1141,
  "cell": [[3.1939, 0.0000, 0.0000], [0.0000, 5.3861, 0.0000], [0.0000, 0.0000, 10.4300]],
  "species": ["Ba", "Ba", "Ag", "Ag", "Ag", "Ag", "Os", "Os"],
  "fractional_positions": [[0.0000, 0.0000, 0.0000], [0.5000, 0.5000, 0.5000], [0.0000, 0.0000, 0.4846], [0.0000, 0.5000, 0.2173], [0.5000, 0.0000, 0.7173], [0.5000, 0.5000, 0.9846], [0.0000, 0.5000, 0.7665], [0.5000, 0.0000, 0.2665]]
}



Record 6
{
  "formula": "BaAg2Os",
  "functional": "PBE",
  "state": "relaxed",
  "ef_ev_per_atom": 0.731,
  "e_above_lowest_polymorph_ev_per_atom": 0.0046,
  "cell": [[3.0667, 0.0000, 0.0000], [0.0000, 5.4267, 0.0000], [0.0000, 0.0000, 11.2040]],
  "species": ["Ba", "Ba", "Ag", "Ag", "Ag", "Ag", "Os", "Os"],
  "fractional_positions": [[0.0000, 0.0000, 0.0000], [0.5000, 0.5000, 0.5000], [0.0000, 0.5000, 0.2087], [0.0000, 0.5000, 0.7913], [0.5000, 0.0000, 0.2913], [0.5000, 0.0000, 0.7087], [0.0000, 0.0000, 0.5000], [0.5000, 0.5000, 0.0000]]
}



Record 7
{
  "formula": "BaAg2Os",
  "functional": "PBE",
  "state": "relaxed",
  "ef_ev_per_atom": 0.828,
  "e_above_lowest_polymorph_ev_per_atom": 0.1023,
  "cell": [[5.0745, 0.0000, 0.0000], [0.0000, 5.0745, 0.0000], [0.0000, 0.0000, 18.5794]],
  "species": ["Ba", "Ba", "Ba", "Ba", "Ag", "Ag", "Ag", "Ag", "Ag", "Ag", "Ag", "Ag", "Os", "Os", "Os", "Os"],
  "fractional_positions": [[0.0000, 0.0000, 0.0000], [0.0000, 0.5000, 0.2500], [0.5000, 0.0000, 0.7500], [0.5000, 0.5000, 0.5000], [0.0706, 0.2500, 0.6250], [0.2500, 0.5706, 0.8750], [0.2500, 0.9294, 0.3750], [0.4294, 0.2500, 0.1250], [0.5706, 0.7500, 0.1250], [0.7500, 0.0706, 0.3750], [0.7500, 0.4294, 0.8750], [0.9294, 0.7500, 0.6250], [0.0000, 0.0000, 0.5000], [0.0000, 0.5000, 0.7500], [0.5000, 0.0000, 0.2500], [0.5000, 0.5000, 0.0000]]
}



Record 8
{
  "formula": "BaAg2Os",
  "functional": "PBE",
  "state": "relaxed",
  "ef_ev_per_atom": 0.763,
  "e_above_lowest_polymorph_ev_per_atom": 0.0366,
  "cell": [[2.9981, 0.0000, 0.0000], [0.0000, 4.8649, 0.0000], [-1.2879, 0.0000, 6.1802]],
  "species": ["Ba", "Ag", "Ag", "Os"],
  "fractional_positions": [[0.0000, 0.0000, 0.0000], [0.3068, 0.5000, 0.6917], [0.6932, 0.5000, 0.3083], [0.5000, 0.0000, 0.5000]]
}